DFT (GGA-PBE) results for crystalline Ca2ZrCr at its relaxed geometry.

Summary:
- Total moment: 2.17 μB per formula unit
- Density of states at the Fermi level: 5.0 states/eV/f.u.
- Energy above the most stable polymorph in this dataset: 0.218 eV/atom
- E: -39.94 eV/cell
- Energy of formation from the pure elements: 53.2 kJ/mol of atoms

abc: 9.1072 3.3452 7.6812
angles: 90.00 95.99 90.00
Space group Cm (No. 8)
One atom of each set of equivalent atoms:
Ca 0.0000 0.0000 0.0000
Ca 0.2241 0.0000 0.6359
Zr 0.2584 0.5000 0.2672
Cr 0.4917 0.0000 0.3706